SrCeCr2O8 | Alexandria | GGA+U | relaxed; VASP energy = -7.269 eV per atom
1.0
-1.640 4.188 3.540
-3.082 -1.162 -4.681
-3.966 -4.760 3.794
O Cr Ce Sr
8 2 1 1
direct
0.831 0.166 0.288
0.169 0.834 0.712
0.667 0.333 0.983
0.834 0.665 0.288
0.166 0.335 0.712
0.665 0.831 0.712
0.335 0.169 0.288
0.333 0.667 0.017
0.667 0.333 0.210
0.333 0.667 0.790
0.000 0.000 0.500
0.000 0.000 0.000